(1)
The following is a PBE calculation of an optimized crystal structure of Cs2ZrTlBr6, from Alexandria via LeMat-Bulk.

Geometry as POSCAR:
```
Cs2ZrTlBr6
1.0
4.017 2.319 15.451
-4.017 2.319 15.451
0.000 -4.638 15.451
Cs Zr Tl Br
4 2 2 12
direct
0.136 0.136 0.136
0.305 0.305 0.305
0.695 0.695 0.695
0.864 0.864 0.864
0.000 0.000 0.000
0.500 0.500 0.500
0.417 0.417 0.417
0.583 0.583 0.583
0.139 0.631 0.631
0.193 0.193 0.717
0.193 0.717 0.193
0.283 0.807 0.807
0.369 0.369 0.861
0.369 0.861 0.369
0.631 0.139 0.631
0.631 0.631 0.139
0.717 0.193 0.193
0.807 0.283 0.807
0.807 0.807 0.283
0.861 0.369 0.369
```

Results
Calculated total energy ... -73.561 eV per cell
Formation energy from raw total energies ... -1.412 eV/atom
SG ... R-3m


(2)
The following is a PBE calculation of an optimized crystal structure of CaPt2I, from Alexandria via LeMat-Bulk.

Geometry as POSCAR:
```
CaPt2I
1.0
0.000 3.491 3.491
3.491 0.000 3.491
3.491 3.491 0.000
Ca Pt I
1 2 1
direct
0.000 0.000 0.000
0.250 0.250 0.250
0.750 0.750 0.750
0.500 0.500 0.500
```

Results
Calculated total energy ... -15.948 eV per cell
Energy above the most stable polymorph in this dataset ... 54.6 kJ/mol of formula units
Formation energy from raw total energies ... -0.079 eV/atom
SG ... Fm-3m


(3)
The following is a PBE calculation of an optimized crystal structure of NaErCu2F8, from Alexandria via LeMat-Bulk.

Geometry as POSCAR:
```
NaErCu2F8
1.0
-2.722 2.722 5.233
2.722 -2.722 5.233
2.722 2.722 -5.233
Na Er Cu F
1 1 2 8
direct
0.000 0.000 0.000
0.750 0.250 0.500
0.250 0.750 0.500
0.500 0.500 0.000
0.020 0.636 0.041
0.021 0.980 0.616
0.135 0.294 0.565
0.364 0.405 0.384
0.430 0.865 0.160
0.595 0.979 0.959
0.706 0.270 0.840
0.730 0.570 0.435
```

Results
Calculated total energy ... -59.849 eV per cell
Energy above the most stable polymorph in this dataset ... 76.9 kJ/mol of formula units
Formation energy from raw total energies ... -2.567 eV/atom
SG ... I-4


(4)
The following is a PBE calculation of an optimized crystal structure of AcZn2SbAu5, from Alexandria via LeMat-Bulk.

Geometry as POSCAR:
```
AcZn2SbAu5
1.0
5.066 0.000 0.000
0.000 5.066 0.000
0.000 0.000 7.689
Ac Zn Sb Au
1 2 1 5
direct
0.000 0.000 0.000
0.500 0.500 0.340
0.500 0.500 0.660
0.000 0.000 0.500
0.000 0.500 0.269
0.000 0.500 0.731
0.500 0.000 0.269
0.500 0.000 0.731
0.500 0.500 0.000
```

Results
Calculated total energy ... -29.575 eV per cell
Formation energy from raw total energies ... -0.268 eV/atom
SG ... P4/mmm


(5)
The following is a PBE calculation of an optimized crystal structure of LaNi2, from Alexandria via LeMat-Bulk.

Geometry as POSCAR:
```
LaNi2
1.0
-2.009 2.009 7.174
2.009 -2.009 7.174
2.009 2.009 -7.174
La Ni
2 4
direct
0.375 0.625 0.750
0.625 0.375 0.250
0.043 0.793 0.250
0.207 0.957 0.250
0.793 0.043 0.750
0.957 0.207 0.750
```

Results
Formation enthalpy at 0 K ... -0.3224 eV/atom
Calculated total energy ... -34.915 eV per cell
SG ... I4_1/amd


(6)
The following is a PBE calculation of an optimized crystal structure of Gd2InBr, from Alexandria via LeMat-Bulk.

Geometry as POSCAR:
```
Gd2InBr
1.0
3.533 0.000 0.000
0.000 3.533 0.000
0.000 0.000 8.520
Gd In Br
2 1 1
direct
0.000 0.000 0.244
0.000 0.000 0.756
0.500 0.500 0.000
0.500 0.500 0.500
```

Results
Calculated total energy ... -35.554 eV per cell
Energy above the most stable polymorph in this dataset ... 0.0 kJ/mol of formula units
Formation energy from raw total energies ... -0.745 eV/atom
SG ... P4/mmm